Material: K2MgPa2Se6
Method: DFT, PBE
State: optimized geometry

Values from the calculation:
symmetry: C2/m, No. 12
formation energy from raw total energies: -131 kJ per mole of atoms

a b c (Å): 7.1456 7.1456 8.2401
angles (deg): 98.17 98.17 120.01
Atoms (fractional coordinates):
1 K 0.1658 0.8342 0.0000
2 K 0.8342 0.1658 0.0000
3 Mg 0.0000 0.0000 0.5000
4 Pa 0.3350 0.6650 0.5000
5 Pa 0.6650 0.3350 0.5000
6 Se 0.0649 0.3980 0.6994
7 Se 0.2597 0.2597 0.3014
8 Se 0.3980 0.0649 0.6994
9 Se 0.6020 0.9351 0.3006
10 Se 0.7403 0.7403 0.6986
11 Se 0.9351 0.6020 0.3006